[1]
SbTeRu2C: relaxed, PBE.

a = 4.2009 Å, b = 4.2009 Å, c = 4.8384 Å
α = 90.00°, β = 90.00°, γ = 90.00°
With the nearest neighbours (Å) after each atom.
Fractional positions:
Sb (0.0000, 0.0000, 0.0000)  2 C 2.42
Te (0.5000, 0.5000, 0.0000)  4 Sb 2.97, 8 Ru 3.20
Ru (0.0000, 0.5000, 0.5000)  2 C 2.10
Ru (0.5000, 0.0000, 0.5000)  2 C 2.10
C (0.0000, 0.0000, 0.5000)  4 Ru 2.10

symmetry = P4/mmm (123)

***

[2]
AcLaRhI: relaxed, PBE.

a = 4.2936 Å, b = 4.2936 Å, c = 25.5979 Å
α = 90.00°, β = 90.00°, γ = 120.00°
With the nearest neighbours (Å) after each atom.
Fractional positions:
Ac (0.0000, 0.0000, 0.0000)  3 Rh 2.99
Ac (0.3333, 0.6667, 0.6667)  3 Rh 2.99
Ac (0.6667, 0.3333, 0.3333)  3 Rh 2.99
La (0.0000, 0.0000, 0.2101)  3 Rh 2.89
La (0.3333, 0.6667, 0.8767)  3 Rh 2.89
La (0.6667, 0.3333, 0.5434)  3 Rh 2.89
Rh (0.0000, 0.0000, 0.6015)  3 La 2.89, 3 Ac 2.99
Rh (0.3333, 0.6667, 0.2681)  3 La 2.89, 3 Ac 2.99
Rh (0.6667, 0.3333, 0.9348)  3 La 2.89, 3 Ac 2.99
I (0.0000, 0.0000, 0.7774)  3 La 3.55, 3 Ac 3.77
I (0.3333, 0.6667, 0.4441)  3 La 3.55, 3 Ac 3.77
I (0.6667, 0.3333, 0.1107)  3 La 3.55, 3 Ac 3.77

symmetry = R3m (160)

***

[3]
NpCuSeN: relaxed, PBE.

a = 10.5694 Å, b = 10.5694 Å, c = 10.5694 Å
α = 21.11°, β = 21.11°, γ = 21.11°
With the nearest neighbours (Å) after each atom.
Fractional positions:
Np (0.1224, 0.1224, 0.1224)  4 N 2.21-2.30
Np (0.8776, 0.8776, 0.8776)  4 N 2.21-2.30
Cu (0.3087, 0.3087, 0.3087)  4 Se 2.44-2.51, 3 Cu 2.71
Cu (0.6913, 0.6913, 0.6913)  4 Se 2.44-2.51, 3 Cu 2.71
Se (0.3896, 0.3896, 0.3896)  4 Cu 2.44-2.51
Se (0.6104, 0.6104, 0.6104)  4 Cu 2.44-2.51
N (0.1936, 0.1936, 0.1936)  4 Np 2.21-2.30
N (0.8064, 0.8064, 0.8064)  4 Np 2.21-2.30

symmetry = R-3m (166)

***

How do the records compare in formation energy from raw total energies? In the order shown, they have 0.84 -1.04 -0.85 eV per atom.
How do the records compare in electronic total energy? In the order shown, they have -6.16 -5.52 -8.06 eV per atom.